Below is CuSb2Mo after structural relaxation, with properties calculated at the PBE-GGA level.

abc: 3.8198 4.8964 8.0209
angles: 90.00 90.00 90.00
Last column: nearest neighbours and their distance in Å.
Space group Immm (No. 71)
Unique sites:
Cu (0.0000, 0.0000, 0.0000)  4 Sb 2.63
Sb (0.0000, 0.5000, 0.2737)  2 Cu 2.63, 2 Mo 2.91
Mo (0.0000, 0.0000, 0.5000)  8 Sb 2.91-3.05, 4 Cu 3.11

Energy relative to the lowest polymorph listed for this composition   20.7 kJ/mol of atoms
E_form (uncorrected)   347 meV per atom



Below is CuSb2Mo after structural relaxation, with properties calculated at the PBE-GGA level.

abc: 8.8017 3.3479 5.3734
angles: 90.00 99.13 90.00
Last column: nearest neighbours and their distance in Å.
Space group C2/m (No. 12)
Unique sites:
Cu (0.0000, 0.0000, 0.0000)  2 Sb 2.68
Sb (0.2340, 0.0000, 0.7351)  1 Cu 2.68, 3 Mo 2.80-2.83
Mo (0.0000, 0.5000, 0.5000)  6 Sb 2.80-2.83

Energy relative to the lowest polymorph listed for this composition   24.6 kJ/mol of atoms
E_form (uncorrected)   387 meV per atom



Below is CuSbMo after structural relaxation, with properties calculated at the PBE-GGA level.

abc: 4.4476 4.4476 2.8917
angles: 90.00 90.00 120.00
Last column: nearest neighbours and their distance in Å.
Space group P3m1 (No. 156)
Unique sites:
Cu (0.0000, 0.0000, 0.0000)  3 Sb 2.57
Sb (0.3333, 0.6667, 0.0043)  3 Cu 2.57
Mo (0.6667, 0.3333, 0.5000)  2 Mo 2.89, 6 Sb 2.94-2.95, 6 Cu 2.95

Energy relative to the lowest polymorph listed for this composition   9.4 kJ/mol of atoms
E_form (uncorrected)   438 meV per atom



Below is CuSb2Mo after structural relaxation, with properties calculated at the PBE-GGA level.

abc: 3.1716 3.1716 30.6408
angles: 90.00 90.00 120.00
Last column: nearest neighbours and their distance in Å.
Space group R3m (No. 160, hexagonal axes)
Unique sites:
Cu (0.0000, 0.0000, 0.0000)  3 Mo 2.69, 3 Sb 2.74
Sb (0.0000, 0.0000, 0.5329)  3 Mo 2.80
Sb (0.0000, 0.0000, 0.7333)  3 Cu 2.74
Mo (0.0000, 0.0000, 0.2689)  3 Cu 2.69, 3 Sb 2.80

Energy relative to the lowest polymorph listed for this composition   31.4 kJ/mol of atoms
E_form (uncorrected)   458 meV per atom



Below is CuSb2Mo after structural relaxation, with properties calculated at the PBE-GGA level.

abc: 4.0033 4.0033 9.6325
angles: 90.00 90.00 90.00
Last column: nearest neighbours and their distance in Å.
Space group I-4m2 (No. 119)
Unique sites:
Cu (0.0000, 0.0000, 0.0000)  8 Sb 2.83-3.13, 4 Mo 3.13
Sb (0.0000, 0.0000, 0.5000)  4 Cu 2.83, 4 Mo 3.13, 4 Sb 3.13
Sb (0.0000, 0.5000, 0.2500)  4 Mo 2.83, 4 Sb 3.13, 4 Cu 3.13
Mo (0.0000, 0.5000, 0.7500)  8 Sb 2.83-3.13, 4 Cu 3.13

Energy relative to the lowest polymorph listed for this composition   32.4 kJ/mol of atoms
E_form (uncorrected)   468 meV per atom



Below is CuSb2Mo after structural relaxation, with properties calculated at the PBE-GGA level.

abc: 3.4648 3.4648 6.2872
angles: 90.00 90.00 90.00
Last column: nearest neighbours and their distance in Å.
Space group P4/mmm (No. 123)
Unique sites:
Cu (0.0000, 0.0000, 0.0000)  8 Sb 2.93, 2 Mo 3.14
Sb (0.5000, 0.5000, 0.2559)  4 Mo 2.89, 4 Cu 2.93, 2 Sb 3.07-3.22
Mo (0.0000, 0.0000, 0.5000)  8 Sb 2.89, 2 Cu 3.14

Energy relative to the lowest polymorph listed for this composition   8.7 kJ/mol of atoms
E_form (uncorrected)   222 meV per atom



Below is CuSb2Mo after structural relaxation, with properties calculated at the PBE-GGA level.

abc: 3.3662 3.3662 23.9736
angles: 90.00 90.00 120.00
Last column: nearest neighbours and their distance in Å.
Space group R-3m (No. 166, hexagonal axes)
Unique sites:
Cu (0.0000, 0.0000, 0.0000)  6 Sb 2.79
Sb (0.0000, 0.0000, 0.2500)  3 Mo 2.79, 3 Cu 2.79
Mo (0.0000, 0.0000, 0.5000)  6 Sb 2.79

Energy relative to the lowest polymorph listed for this composition   7.2 kJ/mol of atoms
E_form (uncorrected)   207 meV per atom



Below is CuSbMo after structural relaxation, with properties calculated at the PBE-GGA level.

abc: 3.8242 4.4774 13.6242
angles: 90.00 90.00 90.00
Last column: nearest neighbours and their distance in Å.
Space group Fmm2 (No. 42)
Unique sites:
Cu (0.0000, 0.0000, 0.0000)  4 Mo 2.55-2.80
Sb (0.0000, 0.0000, 0.2797)  4 Mo 2.86-3.09, 4 Sb 2.94
Mo (0.0000, 0.0000, 0.6238)  4 Cu 2.55-2.80

Energy relative to the lowest polymorph listed for this composition   21.1 kJ/mol of atoms
E_form (uncorrected)   560 meV per atom



Below is CuSb2Mo after structural relaxation, with properties calculated at the PBE-GGA level.

abc: 6.6111 6.6203 3.4098
angles: 90.00 90.00 90.00
Last column: nearest neighbours and their distance in Å.
Space group Cmmm (No. 65)
Unique sites:
Cu (0.0000, 0.0000, 0.0000)  8 Sb 2.89
Sb (0.2500, 0.2500, 0.5000)  4 Mo 2.89, 4 Cu 2.89
Mo (0.0000, 0.5000, 0.0000)  8 Sb 2.89

Energy relative to the lowest polymorph listed for this composition   22.5 kJ/mol of atoms
E_form (uncorrected)   366 meV per atom



Below is Cu2Sb2Mo after structural relaxation, with properties calculated at the PBE-GGA level.

abc: 7.1366 7.1366 3.6269
angles: 90.00 90.00 90.00
Last column: nearest neighbours and their distance in Å.
Space group P4/mbm (No. 127)
Unique sites:
Cu (0.1340, 0.3660, 0.0000)  1 Cu 2.71, 6 Sb 2.75-2.79
Sb (0.1616, 0.6616, 0.5000)  2 Mo 2.68, 6 Cu 2.75-2.79
Mo (0.0000, 0.0000, 0.5000)  4 Sb 2.68

Energy relative to the lowest polymorph listed for this composition   13.1 kJ/mol of atoms
E_form (uncorrected)   387 meV per atom



Below is CuSb3Mo after structural relaxation, with properties calculated at the PBE-GGA level.

abc: 5.2087 5.2087 5.2087
angles: 90.00 90.00 90.00
Last column: nearest neighbours and their distance in Å.
Space group Pm-3m (No. 221)
Unique sites:
Cu (0.0000, 0.0000, 0.0000)  12 Sb 3.68
Sb (0.0000, 0.5000, 0.5000)  2 Mo 2.60
Mo (0.5000, 0.5000, 0.5000)  6 Sb 2.60

Energy relative to the lowest polymorph listed for this composition   0.0 kJ/mol of atoms
E_form (uncorrected)   754 meV per atom



Below is CuSbMo after structural relaxation, with properties calculated at the PBE-GGA level.

abc: 4.0696 4.0696 6.7503
angles: 90.00 90.00 90.00
Last column: nearest neighbours and their distance in Å.
Space group P4/nmm (No. 129, origin choice 2)
Unique sites:
Cu (0.2500, 0.2500, 0.1557)  1 Mo 2.53
Sb (0.2500, 0.7500, 0.5000)  4 Mo 2.78, 4 Sb 2.88, 4 Cu 3.09
Mo (0.2500, 0.2500, 0.7811)  1 Cu 2.53, 4 Sb 2.78

Energy relative to the lowest polymorph listed for this composition   39.9 kJ/mol of atoms
E_form (uncorrected)   755 meV per atom



Below is CuSb2Mo after structural relaxation, with properties calculated at the PBE-GGA level.

abc: 3.7347 5.0836 8.3244
angles: 90.00 90.00 90.00
Last column: nearest neighbours and their distance in Å.
Space group Cmmm (No. 65)
Unique sites:
Cu (0.0000, 0.0000, 0.0000)  4 Sb 2.79
Sb (0.0000, 0.5000, 0.2493)  2 Cu 2.79, 2 Mo 2.80
Mo (0.0000, 0.0000, 0.5000)  4 Sb 2.80

Energy relative to the lowest polymorph listed for this composition   34.8 kJ/mol of atoms
E_form (uncorrected)   493 meV per atom



Below is CuSb2Mo after structural relaxation, with properties calculated at the PBE-GGA level.

abc: 6.7529 6.7529 6.7529
angles: 90.00 90.00 90.00
Last column: nearest neighbours and their distance in Å.
Space group Fm-3m (No. 225)
Unique sites:
Cu (0.0000, 0.0000, 0.0000)  8 Sb 2.92
Sb (0.2500, 0.2500, 0.2500)  4 Mo 2.92, 4 Cu 2.92
Mo (0.0000, 0.0000, 0.5000)  8 Sb 2.92

Energy relative to the lowest polymorph listed for this composition   31.4 kJ/mol of atoms
E_form (uncorrected)   458 meV per atom



Below is CuSb2Mo after structural relaxation, with properties calculated at the PBE-GGA level.

abc: 3.4723 3.4616 6.3380
angles: 90.00 95.19 90.00
Last column: nearest neighbours and their distance in Å.
Space group P2/m (No. 10)
Unique sites:
Cu (0.0000, 0.0000, 0.0000)  8 Sb 2.79-3.11
Sb (0.4641, 0.5000, 0.2568)  4 Cu 2.79-3.11, 4 Mo 2.88-2.90, 1 Sb 3.07
Mo (0.0000, 0.0000, 0.5000)  8 Sb 2.88-2.90, 2 Cu 3.17

Energy relative to the lowest polymorph listed for this composition   8.7 kJ/mol of atoms
E_form (uncorrected)   222 meV per atom



Below is CuSb2Mo after structural relaxation, with properties calculated at the PBE-GGA level.

abc: 6.8291 6.8291 6.8291
angles: 90.00 90.00 90.00
Last column: nearest neighbours and their distance in Å.
Space group F-43m (No. 216)
Unique sites:
Cu (0.0000, 0.0000, 0.0000)  4 Sb 2.96, 4 Mo 2.96
Sb (0.0000, 0.0000, 0.5000)  4 Mo 2.96, 4 Sb 2.96
Sb (0.2500, 0.2500, 0.2500)  4 Sb 2.96, 4 Cu 2.96
Mo (0.2500, 0.2500, 0.7500)  4 Sb 2.96, 4 Cu 2.96

Energy relative to the lowest polymorph listed for this composition   60.1 kJ/mol of atoms
E_form (uncorrected)   755 meV per atom



Below is CuSbMo after structural relaxation, with properties calculated at the PBE-GGA level.

abc: 6.2413 6.2413 6.2413
angles: 90.00 90.00 90.00
Last column: nearest neighbours and their distance in Å.
Space group F-43m (No. 216)
Unique sites:
Cu (0.0000, 0.0000, 0.0000)  4 Mo 2.70
Sb (0.0000, 0.0000, 0.5000)  4 Mo 2.70
Mo (0.2500, 0.2500, 0.2500)  4 Sb 2.70, 4 Cu 2.70

Energy relative to the lowest polymorph listed for this composition   20.3 kJ/mol of atoms
E_form (uncorrected)   552 meV per atom



Below is Cu2Sb2Mo after structural relaxation, with properties calculated at the PBE-GGA level.

abc: 3.4188 3.4188 15.2749
angles: 90.00 90.00 90.00
Last column: nearest neighbours and their distance in Å.
Space group I4/mmm (No. 139)
Unique sites:
Cu (0.0000, 0.5000, 0.2500)  4 Cu 2.42
Sb (0.0000, 0.0000, 0.1041)  4 Cu 2.81, 4 Mo 2.89
Mo (0.0000, 0.0000, 0.5000)  8 Sb 2.89

Energy relative to the lowest polymorph listed for this composition   0.0 kJ/mol of atoms
E_form (uncorrected)   251 meV per atom



Below is CuSb2Mo after structural relaxation, with properties calculated at the PBE-GGA level.

abc: 6.1607 6.1607 11.6156
angles: 90.00 90.00 90.00
Last column: nearest neighbours and their distance in Å.
Space group I-42d (No. 122)
Unique sites:
Cu (0.0000, 0.0000, 0.0000)  4 Sb 2.59
Sb (0.2429, 0.2500, 0.1250)  2 Cu 2.59, 2 Mo 2.64
Mo (0.0000, 0.0000, 0.5000)  4 Sb 2.64

Energy relative to the lowest polymorph listed for this composition   49.3 kJ/mol of atoms
E_form (uncorrected)   643 meV per atom



Below is CuSbMo after structural relaxation, with properties calculated at the PBE-GGA level.

abc: 3.3737 3.3737 8.8175
angles: 90.00 90.00 90.00
Last column: nearest neighbours and their distance in Å.
Space group I4mm (No. 107)
Unique sites:
Cu (0.0000, 0.0000, 0.0000)  5 Mo 2.78-2.98, 5 Sb 2.80-2.94
Sb (0.0000, 0.0000, 0.3331)  5 Cu 2.80-2.94, 5 Mo 2.82-2.90
Mo (0.0000, 0.0000, 0.6617)  5 Cu 2.78-2.98, 5 Sb 2.82-2.90

Energy relative to the lowest polymorph listed for this composition   0.0 kJ/mol of atoms
E_form (uncorrected)   341 meV per atom